1.
Material: BeRuAu2
Method: DFT, PBE
State: relaxed

Cell lengths 8.8356, 8.8356, 8.8356 Å; angles 18.31, 18.31, 18.31 degrees
With the nearest neighbours (Å) after each atom.
Atoms (fractional coordinates):
Ru 0.7632 0.7632 0.7632  3 Be 2.36
Au 0.0039 0.0039 0.0039  9 Au 2.81-3.07, 3 Ru 2.91
Au 0.2371 0.2371 0.2371  3 Be 2.53, 6 Au 2.81
Be 0.4958 0.4958 0.4958  3 Ru 2.36, 3 Au 2.53

Summary:
DFT formation energy ... 130 meV/atom
Calculated volume ... 14.86 Å³ per atom
SG ... No. 160
Total DFT energy (no corrections) ... -4.759 eV/atom

2.
Material: BeRuAu2
Method: DFT, PBE
State: relaxed

Cell lengths 2.8844, 2.8829, 7.0187 Å; angles 90.00, 90.00, 90.00 degrees
With the nearest neighbours (Å) after each atom.
Atoms (fractional coordinates):
Ru 0.5000 0.5000 0.7500  8 Au 2.88, 4 Ru 2.88
Au 0.0000 0.0000 0.0390  4 Be 2.52
Au 0.0000 0.0000 0.4610  4 Be 2.52
Be 0.5000 0.5000 0.2500  8 Au 2.52

Summary:
DFT formation energy ... 165 meV/atom
Calculated volume ... 14.59 Å³ per atom
SG ... No. 123
Total DFT energy (no corrections) ... -4.724 eV/atom